Density functional theory data (PBE) for a relaxed structure of SrScPaO6.

Calculated values
The value obtained for the energy relative to the elements, uncorrected is -2.766 eV/atom. The total moment comes out at 0.22 μB per atom.

a b c (Å): 5.8052 5.8052 4.7516
angles (deg): 90.00 90.00 120.00
Last column: nearest neighbours and their distance in Å.
Space group P312 (No. 149)
Symmetry-distinct sites (fractional):
1 Sr 0.0000 0.0000 0.0000  6 O 2.51
2 Sc 0.6667 0.3333 0.0000  6 O 2.13
3 Pa 0.3333 0.6667 0.5000  6 O 2.19
4 O 0.3848 0.0016 0.7593  1 Sc 2.13, 1 Pa 2.19